Run one
A relaxed structure of La2PaO6. Source: Alexandria, functional GGA-PBE.

Lattice parameters (Å, degrees): 3.987 5.669 11.768 90.00 90.00 90.00
Space group Immm (No. 71)
Unique sites:
La1 0.000 0.000 0.167 [4 per cell]
Pa1 0.000 0.000 0.500 [2 per cell]
O1 0.000 0.238 0.346 [8 per cell]
O2 0.000 0.275 0.000 [4 per cell]

Run two
A relaxed structure of La2PaO6. Source: Alexandria, functional GGA-PBE.

Lattice parameters (Å, degrees): 5.309 5.309 11.156 90.00 90.00 90.00
Space group P4_2/mnm (No. 136)
Unique sites:
La1 0.000 0.000 0.165 [4 per cell]
Pa1 0.000 0.000 0.500 [2 per cell]
O1 0.181 0.181 0.349 [8 per cell]
O2 0.208 0.208 0.000 [4 per cell]

Most stable to least stable: run one, run two

Run one
A relaxed structure of LaPbO2. Source: Alexandria, functional GGA-PBE.

Lattice parameters (Å, degrees): 6.432 6.432 6.432 90.00 90.00 90.00
Space group Fm-3m (No. 225)
Unique sites:
La1 0.000 0.000 0.000 [4 per cell]
Pb1 0.000 0.000 0.500 [4 per cell]
O1 0.250 0.250 0.250 [8 per cell]

Run two
A relaxed structure of LaPbO2. Source: Alexandria, functional GGA-PBE.

Lattice parameters (Å, degrees): 3.7092 3.7092 21.2600 90.00 90.00 120.00
Space group R-3m (No. 166, hexagonal axes)
Unique sites:
La1 0.0000 0.0000 0.0000 [3 per cell]
Pb1 0.0000 0.0000 0.5000 [3 per cell]
O1 0.0000 0.0000 0.3863 [6 per cell]

Most stable to least stable: run two, run one

Run one
A relaxed structure of LaPb2O. Source: Alexandria, functional GGA-PBE.

Lattice parameters (Å, degrees): 7.458 7.458 7.458 90.00 90.00 90.00
Space group Fm-3m (No. 225)
Unique sites:
La1 0.000 0.000 0.000 [4 per cell]
Pb1 0.250 0.250 0.250 [8 per cell]
O1 0.000 0.000 0.500 [4 per cell]

Run two
A relaxed structure of LaPb2O. Source: Alexandria, functional GGA-PBE.

Lattice parameters (Å, degrees): 10.424 10.424 4.485 90.00 90.00 90.00
Space group I-42d (No. 122)
Unique sites:
La1 0.000 0.000 0.000 [4 per cell]
Pb1 0.150 0.250 0.625 [8 per cell]
O1 0.000 0.000 0.500 [4 per cell]

Most stable to least stable: run two, run one

Run one
A relaxed structure of La2PdO4. Source: Alexandria, functional GGA-PBE.

Lattice parameters (Å, degrees): 4.100 4.100 12.616 90.00 90.00 90.00
Space group I4/mmm (No. 139)
Unique sites:
La1 0.000 0.000 0.152 [4 per cell]
Pd1 0.000 0.000 0.500 [2 per cell]
O1 0.000 0.500 0.000 [4 per cell]
O2 0.000 0.500 0.250 [4 per cell]

Run two
A relaxed structure of La2PdO4. Source: Alexandria, functional GGA-PBE.

Lattice parameters (Å, degrees): 12.992 5.770 5.768 90.00 90.00 90.00
Space group Cmce (No. 64)
Unique sites:
La1 0.154 0.000 0.000 [8 per cell]
Pd1 0.000 0.000 0.500 [4 per cell]
O1 0.000 0.195 0.195 [8 per cell]
O2 0.250 0.242 0.750 [8 per cell]

Most stable to least stable: run two, run one

Run one
A relaxed structure of La3PdO6. Source: Alexandria, functional GGA-PBE.

Lattice parameters (Å, degrees): 10.3739 10.3739 10.1499 90.00 90.00 120.00
Space group R-3 (No. 148, hexagonal axes)
Unique sites:
La1 0.0496 0.7823 0.1685 [18 per cell]
Pd1 0.0000 0.0000 0.0000 [3 per cell]
Pd2 0.0000 0.0000 0.5000 [3 per cell]
O1 0.0337 0.8205 0.9032 [18 per cell]
O2 0.0438 0.8490 0.3976 [18 per cell]

Run two
A relaxed structure of La3PdO6. Source: Alexandria, functional GGA-PBE.

Lattice parameters (Å, degrees): 9.568 11.623 5.738 90.00 90.00 90.00
Space group Cmc2_1 (No. 36)
Unique sites:
La1 0.000 0.107 0.000 [4 per cell]
La2 0.207 0.383 0.045 [8 per cell]
Pd1 0.000 0.368 0.548 [4 per cell]
O1 0.000 0.279 0.249 [4 per cell]
O2 0.000 0.481 0.845 [4 per cell]
O3 0.144 0.253 0.734 [8 per cell]
O4 0.156 0.010 0.276 [8 per cell]

Most stable to least stable: run one, run two

Run one
A relaxed structure of LaScPd2O. Source: Alexandria, functional GGA-PBE.

Lattice parameters (Å, degrees): 4.956 4.956 6.065 90.00 90.00 90.00
Space group P4/mmm (No. 123)
Unique sites:
La1 0.000 0.000 0.000 [1 per cell]
Sc1 0.000 0.000 0.500 [1 per cell]
Pd1 0.000 0.500 0.000 [2 per cell]
O1 0.500 0.500 0.500 [1 per cell]

Run two
A relaxed structure of LaScPd2O. Source: Alexandria, functional GGA-PBE.

Lattice parameters (Å, degrees): 5.110 5.110 4.017 90.00 90.00 90.00
Space group P4/mmm (No. 123)
Unique sites:
La1 0.000 0.000 0.000 [1 per cell]
Sc1 0.500 0.500 0.500 [1 per cell]
Pd1 0.000 0.500 0.500 [2 per cell]
O1 0.500 0.500 0.000 [1 per cell]

Most stable to least stable: run two, run one

Run one
A relaxed structure of LaPmO2. Source: Alexandria, functional GGA-PBE.

Lattice parameters (Å, degrees): 6.219 3.575 6.243 90.00 109.28 90.00
Space group C2/m (No. 12)
Unique sites:
La1 0.000 0.000 0.000 [2 per cell]
Pm1 0.000 0.500 0.500 [2 per cell]
O1 0.243 0.000 0.729 [4 per cell]

Run two
A relaxed structure of LaPmO2. Source: Alexandria, functional GGA-PBE.

Lattice parameters (Å, degrees): 3.7848 3.7848 20.2595 90.00 90.00 120.00
Space group R-3m (No. 166, hexagonal axes)
Unique sites:
La1 0.0000 0.0000 0.0000 [3 per cell]
Pm1 0.0000 0.0000 0.5000 [3 per cell]
O1 0.0000 0.0000 0.1140 [6 per cell]

Run three
A relaxed structure of LaPmO2. Source: Alexandria, functional GGA-PBE.

Lattice parameters (Å, degrees): 3.5609 3.5609 18.3395 90.00 90.00 120.00
Space group R3m (No. 160, hexagonal axes)
Unique sites:
La1 0.0000 0.0000 0.0000 [3 per cell]
Pm1 0.0000 0.0000 0.1774 [3 per cell]
O1 0.0000 0.0000 0.5820 [3 per cell]
O2 0.0000 0.0000 0.7605 [3 per cell]

Most stable to least stable: run one, run two, run three

Run one
A relaxed structure of La3PmO6. Source: Alexandria, functional GGA-PBE.

Lattice parameters (Å, degrees): 10.2443 10.2443 12.0102 90.00 90.00 120.00
Space group R-3 (No. 148, hexagonal axes)
Unique sites:
La1 0.0375 0.7720 0.2110 [18 per cell]
Pm1 0.0000 0.0000 0.0000 [3 per cell]
Pm2 0.0000 0.0000 0.5000 [3 per cell]
O1 0.0277 0.8412 0.8724 [18 per cell]
O2 0.0307 0.8129 0.4050 [18 per cell]

Run two
A relaxed structure of La3PmO6. Source: Alexandria, functional GGA-PBE.

Lattice parameters (Å, degrees): 6.066 6.280 10.810 90.00 124.01 90.00
Space group P2_1/c (No. 14)
Unique sites:
La1 0.000 0.000 0.000 [2 per cell]
La2 0.231 0.043 0.743 [4 per cell]
Pm1 0.500 0.000 0.500 [2 per cell]
O1 0.112 0.179 0.432 [4 per cell]
O2 0.229 0.691 0.413 [4 per cell]
O3 0.404 0.084 0.256 [4 per cell]

Most stable to least stable: run one, run two

Run one
A relaxed structure of LaPmO. Source: Alexandria, functional GGA-PBE.

Lattice parameters (Å, degrees): 3.7222 3.7222 6.1477 90.00 90.00 120.00
Space group P3m1 (No. 156)
Unique sites:
La1 0.0000 0.0000 0.0000 [1 per cell]
Pm1 0.3333 0.6667 0.4478 [1 per cell]
O1 0.6667 0.3333 0.2325 [1 per cell]

Run two
A relaxed structure of LaPmO. Source: Alexandria, functional GGA-PBE.

Lattice parameters (Å, degrees): 4.469 4.469 7.964 90.00 90.00 90.00
Space group P4_2/mmc (No. 131)
Unique sites:
La1 0.000 0.000 0.250 [2 per cell]
Pm1 0.500 0.500 0.000 [2 per cell]
O1 0.000 0.500 0.000 [2 per cell]

Run three
A relaxed structure of LaPmO. Source: Alexandria, functional GGA-PBE.

Lattice parameters (Å, degrees): 6.436 5.856 7.271 90.00 90.25 90.00
Space group P2_1/c (No. 14)
Unique sites:
La1 0.098 0.242 0.130 [4 per cell]
Pm1 0.404 0.738 0.628 [4 per cell]
O1 0.264 0.501 0.372 [4 per cell]

Most stable to least stable: run three, run one, run two

Run one
A relaxed structure of LaPt3O. Source: Alexandria, functional GGA-PBE.

Lattice parameters (Å, degrees): 4.479 4.479 4.479 90.00 90.00 90.00
Space group Pm-3m (No. 221)
Unique sites:
La1 0.000 0.000 0.000 [1 per cell]
Pt1 0.000 0.500 0.500 [3 per cell]
O1 0.500 0.500 0.500 [1 per cell]

Run two
A relaxed structure of LaPt3O. Source: Alexandria, functional GGA-PBE.

Lattice parameters (Å, degrees): 5.210 5.210 5.210 90.00 90.00 90.00
Space group Pm-3m (No. 221)
Unique sites:
La1 0.000 0.000 0.000 [1 per cell]
Pt1 0.000 0.000 0.500 [3 per cell]
O1 0.500 0.500 0.500 [1 per cell]

Most stable to least stable: run one, run two